HfCd2MoO6: optimized geometry, GGA+U.

Lattice parameters (Å, degrees): 5.5699 5.5713 5.7731 61.15 89.94 60.01
Space group P1 (No. 1)
One atom of each set of equivalent atoms:
Hf: 0.0000 0.0000 0.0000 x1
Cd: 0.2297 0.5404 0.6882 x1
Cd: 0.7353 0.5300 0.2057 x1
Mo: 0.5016 0.9968 0.5048 x1
O: 0.1507 0.4929 0.2689 x1
O: 0.2645 0.8800 0.7671 x1
O: 0.3561 0.8840 0.2669 x1
O: 0.6482 0.0861 0.7686 x1
O: 0.7596 0.0900 0.2676 x1
O: 0.8546 0.4970 0.7666 x1

## Properties
- E (eV/atom) = -6.835